Record 1
DFT (PBE-GGA) results for a relaxed Nb2CdCCl crystal.

a b c (Å): 4.389 4.632 4.389
angles (deg): 90.00 90.00 90.00
Site moments in Bohr magnetons follow the coordinates.
Element x y z (fractional)
C (0.000, 0.000, 0.000)  -0.01
Cd (0.000, 0.500, 0.000)  0.02
Cl (0.500, 0.500, 0.500)  0.02
Nb (0.000, 0.000, 0.500)  0.26
Nb (0.500, 0.000, 0.000)  0.16

Results
**Uncorrected formation energy**: 0.6555 eV/atom

=====

Record 2
DFT (PBE-GGA) results for a relaxed Ca2LaP crystal.

a b c (Å): 5.794 5.794 6.999
angles (deg): 67.10 67.10 38.48
Site moments in Bohr magnetons follow the coordinates.
Element x y z (fractional)
P (0.286, 0.286, 0.375)  -0.01
La (0.563, 0.563, 0.380)  0.17
Ca (0.737, 0.737, 0.705)  0.01
Ca (0.915, 0.915, 0.041)  0.01

Results
**Energy relative to the elements**: -0.5632 eV/atom

=====

N(E_F) values (in states/eV per cell) by entry order: 5.7; 4.0.
Ρ values (in kg/m3) by entry order: 6433; 3118.